## TbIn2Ru (GGA-PBE)

Data for a relaxed TbIn2Ru crystal.

The calculation puts the density of states at the Fermi level at 2.51 states/eV/f.u. As for the crystal system: tetragonal. As for the formation energy: -0.179 eV per atom.

The structure belongs to space group P4/mmm (No. 123); the cell edges are 3.355, 3.355 and 7.578 Å and the angles 90.00°, 90.00° and 90.00°. The asymmetric unit holds Tb at (0.000, 0.000, 0.000), In at (0.500, 0.500, 0.298) and Ru at (0.000, 0.000, 0.500).